Record 1
! Dy3Be2Si3 PBE optimized geometry; values from VASP
! Space group   Cmcm (63)
! Size of the total moment   0.0 μB per formula unit
! N(E_F)   0.52 states/eV per atom
! Formation energy from raw total energies   -59.8 kJ/mol of atoms
&SYSTEM
  ibrav = 0, nat = 16, ntyp = 3
/
ATOMIC_SPECIES
Dy 162.50 Dy.upf
Be 9.01 Be.upf
Si 28.09 Si.upf
CELL_PARAMETERS angstrom
1.9270 -5.2553 0.0000
1.9270 5.2553 0.0000
0.0000 0.0000 14.6358
ATOMIC_POSITIONS crystal
Dy 0.0504 0.9496 0.7500
Dy 0.3521 0.6479 0.5929
Dy 0.3521 0.6479 0.9071
Dy 0.6479 0.3521 0.0929
Dy 0.6479 0.3521 0.4071
Dy 0.9496 0.0504 0.2500
Be 0.3595 0.6405 0.1193
Be 0.3595 0.6405 0.3807
Be 0.6405 0.3595 0.6193
Be 0.6405 0.3595 0.8807
Si 0.0771 0.9229 0.5581
Si 0.0771 0.9229 0.9419
Si 0.2315 0.7685 0.2500
Si 0.7685 0.2315 0.7500
Si 0.9229 0.0771 0.0581
Si 0.9229 0.0771 0.4419



Record 2
! Zr2Ti2In PBE optimized geometry; values from VASP
! Formation energy   -37 kJ/mol of formula units
! Space group   P4/mbm (127)
! Offset from the most stable computed form   16 meV per atom
! Size of the total moment   0.0 μB per formula unit
! N(E_F)   0.95 states/eV per atom
&SYSTEM
  ibrav = 0, nat = 10, ntyp = 3
/
ATOMIC_SPECIES
Zr 91.22 Zr.upf
Ti 47.87 Ti.upf
In 114.82 In.upf
CELL_PARAMETERS angstrom
7.3288 0.0000 0.0000
0.0000 7.3288 0.0000
0.0000 0.0000 3.8339
ATOMIC_POSITIONS crystal
Zr 0.1683 0.3317 0.0000
Zr 0.3317 0.8317 0.0000
Zr 0.6683 0.1683 0.0000
Zr 0.8317 0.6683 0.0000
Ti 0.1290 0.6290 0.5000
Ti 0.3710 0.1290 0.5000
Ti 0.6290 0.8710 0.5000
Ti 0.8710 0.3710 0.5000
In 0.0000 0.0000 0.5000
In 0.5000 0.5000 0.5000



Record 3
! Sn4H3Pd12Pt PBE optimized geometry; values from VASP
! Space group   Im-3m (229)
! Size of the total moment   0.0 μB per formula unit
! Final energy   -97.9 eV/cell
! N(E_F)   0.31 states/eV per atom
&SYSTEM
  ibrav = 0, nat = 20, ntyp = 4
/
ATOMIC_SPECIES
Sn 118.71 Sn.upf
H 1.01 H.upf
Pd 106.42 Pd.upf
Pt 195.08 Pt.upf
CELL_PARAMETERS angstrom
-4.2693 4.2693 4.2693
4.2693 -4.2693 4.2693
4.2693 4.2693 -4.2693
ATOMIC_POSITIONS crystal
Sn 0.0000 0.0000 0.5000
Sn 0.0000 0.5000 0.0000
Sn 0.5000 0.0000 0.0000
Sn 0.5000 0.5000 0.5000
H 0.0000 0.5000 0.5000
H 0.5000 0.0000 0.5000
H 0.5000 0.5000 0.0000
Pd 0.0000 0.2936 0.2936
Pd 0.0000 0.7064 0.7064
Pd 0.2500 0.5000 0.7500
Pd 0.2500 0.7500 0.5000
Pd 0.2936 0.0000 0.2936
Pd 0.2936 0.2936 0.0000
Pd 0.5000 0.2500 0.7500
Pd 0.5000 0.7500 0.2500
Pd 0.7064 0.0000 0.7064
Pd 0.7064 0.7064 0.0000
Pd 0.7500 0.2500 0.5000
Pd 0.7500 0.5000 0.2500
Pt 0.0000 0.0000 0.0000



Record 4
! LaTb4Dy2 PBE optimized geometry; values from VASP
! Formation energy   175 kJ/mol of formula units
! Space group   I4/mmm (139)
! Offset from the most stable computed form   218 meV per atom
! Size of the total moment   0.0 μB per formula unit
! N(E_F)   1.39 states/eV per atom
&SYSTEM
  ibrav = 0, nat = 7, ntyp = 3
/
ATOMIC_SPECIES
La 138.91 La.upf
Tb 158.93 Tb.upf
Dy 162.50 Dy.upf
CELL_PARAMETERS angstrom
-2.2778 2.2778 11.3756
2.2778 -2.2778 11.3756
2.2778 2.2778 -11.3756
ATOMIC_POSITIONS crystal
La 0.0000 0.0000 0.0000
Tb 0.1404 0.1404 0.0000
Tb 0.2500 0.7500 0.5000
Tb 0.7500 0.2500 0.5000
Tb 0.8596 0.8596 0.0000
Dy 0.3991 0.3991 0.0000
Dy 0.6009 0.6009 0.0000



> Number 2 is which compound?

Zr2Ti2In